This record from Alexandria describes a relaxed LaPSe2 crystal. The functional is GGA-PBE.

Cell: 4.0418 4.0418 6.1149 Å, 90.00 90.00 90.00°
With the nearest neighbours (Å) after each atom.
Space group P4mm (No. 99)
Unique sites:
La1 0.0000 0.0000 0.0000 x1  5 Se 2.85-2.99
P1 0.5000 0.5000 0.4167 x1  5 Se 2.69-2.87
Se1 0.0000 0.0000 0.4666 x1  1 La 2.85, 4 P 2.87
Se2 0.5000 0.5000 0.8568 x1  1 P 2.69, 4 La 2.99

Results
The uncorrected formation energy comes out at -0.780 eV per atom. Its size of the total moment is 0.0 μB per formula unit. As for the electronic total energy: -20.427 eV for the cell shown. As for the density of states at the Fermi level: 1.04 states/eV/f.u.